Density functional theory data (GGA-PBE) for crystalline MnBe2Rh at its relaxed geometry.

Results
space group = I-4m2 (119)
E_tot = -24.7 eV for the cell shown
formation energy from the elements = -0.724 eV per formula unit
energy above the most stable polymorph in this dataset = 23.2 kJ per mole of atoms

Unit cell a=4.508 b=4.508 c=4.508 alpha=135.91 beta=135.91 gamma=64.12
Fractional positions:
Mn (0.000, 0.000, 0.000)
Be (0.500, 0.500, 0.000)
Be (0.750, 0.250, 0.500)
Rh (0.250, 0.750, 0.500)


Density functional theory data (GGA-PBE) for crystalline KLi2As at its relaxed geometry.

Results
space group = P4/mmm (123)
E_tot = -10.2 eV for the cell shown
formation energy from the elements = -0.584 eV per formula unit

Unit cell a=4.726 b=4.726 c=4.065 alpha=90.00 beta=90.00 gamma=90.00
Fractional positions:
K (0.000, 0.000, 0.000)
Li (0.000, 0.500, 0.500)
Li (0.500, 0.000, 0.500)
As (0.500, 0.500, 0.000)


Density functional theory data (GGA-PBE) for crystalline TaIr2Se at its relaxed geometry.

Results
energy relative to the elements, uncorrected = 198 meV/atom
space group = P4/mmm (123)
E_tot = -32.3 eV for the cell shown

Unit cell a=4.776 b=4.776 c=2.888 alpha=90.00 beta=90.00 gamma=90.00
Fractional positions:
Ta (0.000, 0.000, 0.000)
Ir (0.000, 0.500, 0.500)
Ir (0.500, 0.000, 0.500)
Se (0.500, 0.500, 0.000)


Density functional theory data (GGA-PBE) for crystalline ZnSb2IN at its relaxed geometry.

Results
energy relative to the elements, uncorrected = 829 meV/atom
space group = P4/mmm (123)
E_tot = -15.3 eV for the cell shown
energy above the most stable polymorph in this dataset = 0.0 kJ per mole of atoms

Unit cell a=4.858 b=4.858 c=4.801 alpha=90.00 beta=90.00 gamma=90.00
Fractional positions:
Zn (0.000, 0.000, 0.000)
Sb (0.000, 0.500, 0.500)
Sb (0.500, 0.000, 0.500)
I (0.500, 0.500, 0.000)
N (0.500, 0.500, 0.500)


Density functional theory data (GGA-PBE) for crystalline LiHoPbAu at its relaxed geometry.

Results
space group = F-43m (216)
E_tot = -15.6 eV for the cell shown
formation energy from the elements = -2.138 eV per formula unit

Unit cell a=5.016 b=5.016 c=5.016 alpha=60.00 beta=60.00 gamma=60.00
Fractional positions:
Li (0.000, 0.000, 0.000)
Ho (0.500, 0.500, 0.500)
Pb (0.250, 0.250, 0.250)
Au (0.750, 0.750, 0.750)


Density functional theory data (GGA-PBE) for crystalline PrCd2B2O6 at its relaxed geometry.

Results
energy relative to the elements, uncorrected = -2085 meV/atom
space group = P-3 (147)
E_tot = -72.6 eV for the cell shown

Unit cell a=5.245 b=5.245 c=7.255 alpha=90.00 beta=90.00 gamma=120.00
Fractional positions:
Pr (0.000, 0.000, 0.000)
Cd (0.333, 0.667, 0.343)
Cd (0.667, 0.333, 0.657)
B (0.333, 0.667, 0.793)
B (0.667, 0.333, 0.207)
O (0.077, 0.682, 0.795)
O (0.318, 0.395, 0.795)
O (0.395, 0.077, 0.205)
O (0.605, 0.923, 0.795)
O (0.682, 0.605, 0.205)
O (0.923, 0.318, 0.205)


Density functional theory data (GGA-PBE) for crystalline NaCdIn2Sn at its relaxed geometry.

Results
space group = Cmcm (63)
E_tot = -24.0 eV for the cell shown
formation energy from the elements = -0.311 eV per formula unit

Unit cell a=7.320 b=7.320 c=6.574 alpha=90.00 beta=90.00 gamma=124.08
Fractional positions:
Na (0.241, 0.759, 0.750)
Na (0.759, 0.241, 0.250)
Cd (0.359, 0.641, 0.250)
Cd (0.641, 0.359, 0.750)
In (0.254, 0.254, 0.000)
In (0.254, 0.254, 0.500)
In (0.746, 0.746, 0.000)
In (0.746, 0.746, 0.500)
Sn (0.142, 0.858, 0.250)
Sn (0.858, 0.142, 0.750)


Density functional theory data (GGA-PBE) for crystalline PuRh2Pb at its relaxed geometry.

Results
space group = P4/mmm (123)
E_tot = -33.4 eV for the cell shown
formation energy from the elements = -0.701 eV per formula unit

Unit cell a=3.523 b=3.523 c=6.416 alpha=90.00 beta=90.00 gamma=90.00
Fractional positions:
Pu (0.000, 0.000, 0.000)
Rh (0.500, 0.500, 0.245)
Rh (0.500, 0.500, 0.755)
Pb (0.000, 0.000, 0.500)


Density functional theory data (GGA-PBE) for crystalline SrLiU2O6 at its relaxed geometry.

Results
energy relative to the elements, uncorrected = -2854 meV/atom
space group = Imm2 (44)
E_tot = -84.5 eV for the cell shown
energy above the most stable polymorph in this dataset = 0.5 kJ per mole of atoms

Unit cell a=6.655 b=6.655 c=6.655 alpha=144.96 beta=130.46 gamma=62.12
Fractional positions:
Sr (0.000, 0.000, 0.000)
Li (0.833, 0.333, 0.500)
U (0.320, 0.320, 0.000)
U (0.647, 0.647, 0.000)
O (0.060, 0.809, 0.252)
O (0.248, 0.479, 0.769)
O (0.441, 0.170, 0.271)
O (0.557, 0.809, 0.748)
O (0.711, 0.479, 0.231)
O (0.899, 0.170, 0.729)


Density functional theory data (GGA-PBE) for crystalline SrHgIrPb2 at its relaxed geometry.

Results
space group = P4/mmm (123)
E_tot = -18.7 eV for the cell shown
formation energy from the elements = -0.399 eV per formula unit

Unit cell a=5.272 b=5.272 c=5.875 alpha=90.00 beta=90.00 gamma=90.00
Fractional positions:
Sr (0.000, 0.000, 0.000)
Hg (0.500, 0.500, 0.000)
Ir (0.000, 0.000, 0.500)
Pb (0.000, 0.500, 0.500)
Pb (0.500, 0.000, 0.500)


Density functional theory data (GGA-PBE) for crystalline NaPmPr at its relaxed geometry.

Results
space group = P3m1 (156)
E_tot = -10.5 eV for the cell shown
formation energy from the elements = 0.316 eV per formula unit
energy above the most stable polymorph in this dataset = 0.0 kJ per mole of atoms

Unit cell a=3.654 b=3.654 c=9.346 alpha=90.00 beta=90.00 gamma=120.00
Fractional positions:
Na (0.000, 0.000, 0.000)
Pm (0.667, 0.333, 0.345)
Pr (0.333, 0.667, 0.651)


Density functional theory data (GGA-PBE) for crystalline CuAgAsS4 at its relaxed geometry.

Results
energy relative to the elements, uncorrected = -41 meV/atom
space group = I-4 (82)
E_tot = -28.4 eV for the cell shown

Unit cell a=6.246 b=6.246 c=6.246 alpha=123.27 beta=123.27 gamma=84.42
Fractional positions:
Cu (0.000, 0.000, 0.000)
Ag (0.500, 0.500, 0.000)
As (0.750, 0.250, 0.500)
S (0.082, 0.618, 0.951)
S (0.382, 0.333, 0.464)
S (0.667, 0.131, 0.049)
S (0.869, 0.918, 0.536)


Density functional theory data (GGA-PBE) for crystalline Nd4InSbS9 at its relaxed geometry.

Results
energy relative to the elements, uncorrected = -1521 meV/atom
space group = P4_32_12 (96)
E_tot = -687.2 eV for the cell shown

Unit cell a=10.234 b=10.234 c=28.073 alpha=90.00 beta=90.00 gamma=90.00
Fractional positions:
Nd (0.001, 0.235, 0.449)
Nd (0.010, 0.653, 0.802)
Nd (0.057, 0.275, 0.656)
Nd (0.060, 0.726, 0.661)
Nd (0.153, 0.490, 0.052)
Nd (0.225, 0.557, 0.406)
Nd (0.226, 0.440, 0.911)
Nd (0.235, 0.001, 0.551)
Nd (0.265, 0.501, 0.199)
Nd (0.274, 0.940, 0.839)
Nd (0.275, 0.057, 0.344)
Nd (0.347, 0.990, 0.698)
Nd (0.440, 0.226, 0.089)
Nd (0.443, 0.775, 0.094)
Nd (0.490, 0.153, 0.948)
Nd (0.499, 0.735, 0.301)
Nd (0.501, 0.265, 0.801)
Nd (0.510, 0.847, 0.448)
Nd (0.557, 0.225, 0.594)
Nd (0.560, 0.774, 0.589)
Nd (0.653, 0.010, 0.198)
Nd (0.725, 0.943, 0.844)
Nd (0.726, 0.060, 0.339)
Nd (0.735, 0.499, 0.699)
Nd (0.765, 0.999, 0.051)
Nd (0.774, 0.560, 0.411)
Nd (0.775, 0.443, 0.906)
Nd (0.847, 0.510, 0.552)
Nd (0.940, 0.274, 0.161)
Nd (0.943, 0.725, 0.156)
Nd (0.990, 0.347, 0.302)
Nd (0.999, 0.765, 0.949)
In (0.012, 0.205, 0.796)
In (0.205, 0.012, 0.204)
In (0.295, 0.512, 0.546)
In (0.488, 0.705, 0.954)
In (0.512, 0.295, 0.454)
In (0.705, 0.488, 0.046)
In (0.795, 0.988, 0.704)
In (0.988, 0.795, 0.296)
Sb (0.011, 0.862, 0.444)
Sb (0.138, 0.989, 0.056)
Sb (0.362, 0.489, 0.694)
Sb (0.489, 0.362, 0.306)
Sb (0.511, 0.638, 0.806)
Sb (0.638, 0.511, 0.194)
Sb (0.862, 0.011, 0.556)
Sb (0.989, 0.138, 0.944)
S (0.003, 0.014, 0.852)
S (0.003, 0.496, 0.968)
S (0.004, 0.503, 0.718)
S (0.006, 0.400, 0.849)
S (0.014, 0.003, 0.148)
S (0.015, 0.828, 0.538)
S (0.023, 0.190, 0.550)
S (0.100, 0.506, 0.599)
S (0.172, 0.985, 0.962)
S (0.176, 0.299, 0.376)
S (0.180, 0.820, 0.750)
S (0.188, 0.701, 0.878)
S (0.190, 0.023, 0.450)
S (0.197, 0.803, 0.250)
S (0.200, 0.203, 0.258)
S (0.201, 0.312, 0.128)
S (0.201, 0.676, 0.126)
S (0.203, 0.200, 0.742)
S (0.297, 0.700, 0.008)
S (0.299, 0.176, 0.624)
S (0.299, 0.812, 0.622)
S (0.300, 0.703, 0.492)
S (0.303, 0.303, 0.500)
S (0.310, 0.523, 0.300)
S (0.312, 0.201, 0.872)
S (0.320, 0.320, 0.000)
S (0.324, 0.799, 0.374)
S (0.328, 0.485, 0.788)
S (0.400, 0.006, 0.151)
S (0.477, 0.690, 0.200)
S (0.485, 0.328, 0.212)
S (0.486, 0.503, 0.602)
S (0.494, 0.900, 0.901)
S (0.496, 0.003, 0.032)
S (0.497, 0.514, 0.898)
S (0.497, 0.996, 0.782)
S (0.503, 0.004, 0.282)
S (0.503, 0.486, 0.398)
S (0.504, 0.997, 0.532)
S (0.506, 0.100, 0.401)
S (0.514, 0.497, 0.102)
S (0.515, 0.672, 0.712)
S (0.523, 0.310, 0.700)
S (0.600, 0.994, 0.651)
S (0.672, 0.515, 0.288)
S (0.676, 0.201, 0.874)
S (0.680, 0.680, 0.500)
S (0.688, 0.799, 0.372)
S (0.690, 0.477, 0.800)
S (0.697, 0.697, 0.000)
S (0.700, 0.297, 0.992)
S (0.701, 0.188, 0.122)
S (0.701, 0.824, 0.124)
S (0.703, 0.300, 0.508)
S (0.797, 0.800, 0.242)
S (0.799, 0.324, 0.626)
S (0.799, 0.688, 0.628)
S (0.800, 0.797, 0.758)
S (0.803, 0.197, 0.750)
S (0.810, 0.977, 0.950)
S (0.812, 0.299, 0.378)
S (0.820, 0.180, 0.250)
S (0.824, 0.701, 0.876)
S (0.828, 0.015, 0.462)
S (0.900, 0.494, 0.099)
S (0.977, 0.810, 0.050)
S (0.985, 0.172, 0.038)
S (0.986, 0.997, 0.648)
S (0.994, 0.600, 0.349)
S (0.996, 0.497, 0.218)
S (0.997, 0.504, 0.468)
S (0.997, 0.986, 0.352)


Density functional theory data (GGA-PBE) for crystalline AcTb12Ho2 at its relaxed geometry.

Results
space group = P2/m (10)
E_tot = -67.1 eV for the cell shown
formation energy from the elements = 1.695 eV per formula unit

Unit cell a=3.594 b=5.617 c=24.542 alpha=90.00 beta=94.03 gamma=90.00
Fractional positions:
Ac (0.000, 0.000, 0.000)
Tb (0.071, 0.000, 0.143)
Tb (0.101, 0.500, 0.205)
Tb (0.167, 0.500, 0.331)
Tb (0.215, 0.000, 0.426)
Tb (0.276, 0.500, 0.555)
Tb (0.461, 0.500, 0.922)
Tb (0.539, 0.500, 0.078)
Tb (0.724, 0.500, 0.445)
Tb (0.785, 0.000, 0.574)
Tb (0.833, 0.500, 0.669)
Tb (0.899, 0.500, 0.795)
Tb (0.929, 0.000, 0.857)
Ho (0.363, 0.000, 0.725)
Ho (0.637, 0.000, 0.275)


Density functional theory data (GGA-PBE) for crystalline Tm5Th2Sc12 at its relaxed geometry.

Results
space group = C2/m (12)
E_tot = -110.2 eV for the cell shown
formation energy from the elements = 2.996 eV per formula unit

Unit cell a=8.676 b=8.676 c=7.968 alpha=91.25 beta=91.25 gamma=60.44
Fractional positions:
Tm (0.000, 0.000, 0.000)
Tm (0.238, 0.238, 0.080)
Tm (0.304, 0.304, 0.498)
Tm (0.696, 0.696, 0.502)
Tm (0.762, 0.762, 0.920)
Th (0.305, 0.695, 0.500)
Th (0.695, 0.305, 0.500)
Sc (0.023, 0.663, 0.250)
Sc (0.096, 0.096, 0.388)
Sc (0.183, 0.567, 0.852)
Sc (0.337, 0.977, 0.750)
Sc (0.433, 0.817, 0.148)
Sc (0.447, 0.447, 0.175)
Sc (0.553, 0.553, 0.825)
Sc (0.567, 0.183, 0.852)
Sc (0.663, 0.023, 0.250)
Sc (0.817, 0.433, 0.148)
Sc (0.904, 0.904, 0.612)
Sc (0.977, 0.337, 0.750)


Density functional theory data (GGA-PBE) for crystalline SnBi3Os at its relaxed geometry.

Results
space group = Pm-3m (221)
E_tot = -23.3 eV for the cell shown
formation energy from the elements = 3.571 eV per formula unit
energy above the most stable polymorph in this dataset = 0.0 kJ per mole of atoms

Unit cell a=5.353 b=5.353 c=5.353 alpha=90.00 beta=90.00 gamma=90.00
Fractional positions:
Sn (0.000, 0.000, 0.000)
Bi (0.000, 0.500, 0.500)
Bi (0.500, 0.000, 0.500)
Bi (0.500, 0.500, 0.000)
Os (0.500, 0.500, 0.500)


| no. | total magnetic moment (μB per cell) |
| --- | --- |
| 1 | 3.011 |
| 2 | 0.000 |
| 3 | 0.000 |
| 4 | 0.000 |
| 5 | 0.000 |
| 6 | 0.000 |
| 7 | 0.000 |
| 8 | 4.728 |
| 9 | 3.000 |
| 10 | 0.000 |
| 11 | 0.000 |
| 12 | 0.001 |
| 13 | 0.000 |
| 14 | 0.000 |
| 15 | 0.002 |
| 16 | 0.000 |